# AcCrF5

A geometry-optimized AcCrF5 structure (PBE with a Hubbard U, the Alexandria database).

Results
As for the space group: No. 15. For the density of states at the Fermi level, the calculation gives 0.000 states/eV/cell. The volume comes out at 16.98 Å³/atom. The uncorrected energy is -89.866 eV per cell.

extended XYZ file:
```
14
Lattice="5.387 -0.517 1.182 1.875 5.077 1.182 0.525 0.329 8.563" Properties=species:S:1:pos:R:3 pbc="T T T"
F 3.725 3.787 5.611
F 6.345 3.221 7.216
F 4.062 1.102 5.316
F 5.292 1.874 9.893
F 2.360 4.595 3.323
F 2.392 0.738 7.993
F 5.427 0.294 7.604
F 1.442 1.669 3.712
F 2.495 3.015 1.034
F 5.396 4.151 2.934
Cr 0.262 0.165 4.282
Cr 0.000 0.000 0.000
Ac 4.142 2.340 7.604
Ac 3.645 2.550 3.323
```